An optimized crystal structure of VZnCrO4, computed with PBE+U. Values from VASP.

* total magnetic moment: 10.00 μB/cell
* total energy: -49.36 eV/f.u.

```
&SYSTEM
  ibrav = 0, nat = 14, ntyp = 4
/
ATOMIC_SPECIES
V 50.94 V.upf
Zn 65.41 Zn.upf
Cr 52.00 Cr.upf
O 16.00 O.upf
ATOMIC_POSITIONS crystal
V 0.0000 0.0000 0.0000
V 0.5000 0.0000 0.5000
Zn 0.3729 0.6229 0.7500
Zn 0.6271 0.3771 0.2500
Cr 0.0000 0.0000 0.5000
Cr 0.0000 0.5000 0.0000
O 0.2161 0.2396 0.9765
O 0.2369 0.7604 0.4765
O 0.2382 0.2181 0.4799
O 0.2382 0.7583 0.0201
O 0.7618 0.2417 0.9799
O 0.7618 0.7819 0.5201
O 0.7631 0.2396 0.5235
O 0.7839 0.7604 0.0235
CELL_PARAMETERS angstrom
-3.0223 3.0313 4.2421
3.0223 -3.0313 4.2421
3.0223 3.0313 -4.2421
```